# 1
Entry from Alexandria: a geometry-optimized NdPuRh2 structure (GGA-PBE).

Output
As for the total energy: -8.953 eV/atom. The space group is No. 123. The value obtained for the density of states at the Fermi level is 11.536 states/eV/f.u.

Cell: 3.4496 3.4496 7.1181 Å, 90.00 90.00 90.00°
Last column: nearest neighbours and their distance in Å.
Fractional positions:
Pu1 0.5000 0.5000 0.5000  8 Rh 2.93
Rh1 0.0000 0.0000 0.2715  4 Pu 2.93, 4 Nd 3.11, 1 Rh 3.25
Rh2 0.0000 0.0000 0.7285  4 Pu 2.93, 4 Nd 3.11, 1 Rh 3.25
Nd1 0.5000 0.5000 0.0000  8 Rh 3.11, 4 Nd 3.45



# 2
Entry from Alexandria: a geometry-optimized CaDyTlPb structure (GGA-PBE).

Output
As for the total energy: -3.567 eV/atom. The space group is No. 216. The value obtained for the density of states at the Fermi level is 2.099 states/eV/f.u.

Cell: 5.4640 5.4640 5.4640 Å, 60.00 60.00 60.00°
Last column: nearest neighbours and their distance in Å.
Fractional positions:
Ca1 0.2500 0.2500 0.2500  4 Tl 3.35, 4 Pb 3.35
Dy1 0.7500 0.7500 0.7500  4 Pb 3.35, 4 Tl 3.35
Pb1 0.5000 0.5000 0.5000  4 Dy 3.35, 4 Ca 3.35
Tl1 0.0000 0.0000 0.0000  4 Ca 3.35, 4 Dy 3.35



# 3
Entry from Alexandria: a geometry-optimized KAl6Zn8 structure (GGA-PBE).

Output
As for the total energy: -2.172 eV/atom. The space group is No. 148. The value obtained for the density of states at the Fermi level is 4.597 states/eV/f.u.

Cell: 6.7234 6.7234 6.7234 Å, 72.32 72.32 72.32°
Last column: nearest neighbours and their distance in Å.
Fractional positions:
Zn1 0.7864 0.7864 0.7864  6 Zn 2.63-2.89, 3 Al 2.75
Zn2 0.5236 0.8654 0.1958  5 Zn 2.63-2.89, 4 Al 2.63-2.88
Zn3 0.1346 0.8042 0.4764  5 Zn 2.63-2.89, 4 Al 2.63-2.88
Zn4 0.8042 0.4764 0.1346  5 Zn 2.63-2.89, 4 Al 2.63-2.88
Zn5 0.2136 0.2136 0.2136  6 Zn 2.63-2.89, 3 Al 2.75
Zn6 0.8654 0.1958 0.5236  5 Zn 2.63-2.89, 4 Al 2.63-2.88
Zn7 0.1958 0.5236 0.8654  5 Zn 2.63-2.89, 4 Al 2.63-2.88
Zn8 0.4764 0.1346 0.8042  5 Zn 2.63-2.89, 4 Al 2.63-2.88
Al1 0.8267 0.6510 0.4266  5 Zn 2.63-2.88, 3 Al 2.76-2.80
Al2 0.3490 0.5734 0.1733  5 Zn 2.63-2.88, 3 Al 2.76-2.80
Al3 0.1733 0.3490 0.5734  5 Zn 2.63-2.88, 3 Al 2.76-2.80
Al4 0.4266 0.8267 0.6510  5 Zn 2.63-2.88, 3 Al 2.76-2.80
Al5 0.6510 0.4266 0.8267  5 Zn 2.63-2.88, 3 Al 2.76-2.80
Al6 0.5734 0.1733 0.3490  5 Zn 2.63-2.88, 3 Al 2.76-2.80
K1 0.0000 0.0000 0.0000  8 Zn 3.15-3.36, 6 Al 3.26



# 4
Entry from Alexandria: a geometry-optimized Ni2CI structure (GGA-PBE).

Output
The value obtained for the formation energy without anion corrections is 276 meV/atom. The space group is No. 1. The value obtained for the density of states at the Fermi level is 2.737 states/eV/f.u.

Cell: 3.9903 4.0298 9.8534 Å, 91.97 96.25 116.70°
Last column: nearest neighbours and their distance in Å.
Fractional positions:
C1 0.1519 0.0122 0.5662  1 C 1.40
C2 0.8147 0.6831 0.5679  1 C 1.40
Ni1 0.5842 0.1859 0.4643  2 C 1.95-1.98
Ni2 0.2702 0.5561 0.5377  4 C 1.98-2.14
Ni3 0.8859 0.8050 0.3736  2 C 2.01-2.02
Ni4 0.5757 0.3361 0.7059  2 C 1.96-1.98
I1 0.1611 0.4253 0.8707  2 Ni 2.57
I2 0.6749 0.1934 0.2118  3 Ni 2.55-2.63



# 5
Entry from Alexandria: a geometry-optimized Rb2TbSe2O6 structure (GGA-PBE).

Output
The value obtained for the formation energy without anion corrections is -1567 meV/atom. The space group is No. 12. The value obtained for the density of states at the Fermi level is 2.608 states/eV/f.u.

Cell: 6.2835 5.7849 7.4221 Å, 108.21 90.00 122.89°
Last column: nearest neighbours and their distance in Å.
Fractional positions:
Rb1 0.7048 0.4095 0.1515  5 O 2.95-3.01
Rb2 0.2952 0.5905 0.8485  5 O 2.95-3.01
O1 0.2384 0.9773 0.2668  1 Se 1.84
O2 0.7522 0.5044 0.5685  1 Se 1.74
O3 0.2611 0.0227 0.7332  1 Se 1.84
O4 0.2478 0.4956 0.4315  1 Se 1.74
O5 0.7389 0.9773 0.2668  1 Se 1.84
O6 0.7616 0.0227 0.7332  1 Se 1.84
Tb1 0.5000 0.0000 0.5000  6 O 2.31
Se1 0.9225 0.8450 0.7604  3 O 1.74-1.84
Se2 0.0775 0.1550 0.2396  3 O 1.74-1.84



# 6
Entry from Alexandria: a geometry-optimized Cr3BiAu structure (GGA-PBE).

Output
As for the total energy: -6.161 eV/atom. The space group is No. 221. The value obtained for the density of states at the Fermi level is 4.503 states/eV/f.u.

Cell: 5.0313 5.0313 5.0313 Å, 90.00 90.00 90.00°
Last column: nearest neighbours and their distance in Å.
Fractional positions:
Bi1 0.5000 0.5000 0.5000  12 Cr 3.56
Cr1 0.5000 0.0000 0.0000  2 Au 2.52
Cr2 0.0000 0.5000 0.0000  2 Au 2.52
Cr3 0.0000 0.0000 0.5000  2 Au 2.52
Au1 0.0000 0.0000 0.0000  6 Cr 2.52



# 7
Entry from Alexandria: a geometry-optimized LaScCd structure (GGA-PBE).

Output
As for the total energy: -4.088 eV/atom. The space group is No. 156. The value obtained for the density of states at the Fermi level is 3.463 states/eV/f.u.

Cell: 3.4834 3.4834 8.0132 Å, 90.00 90.00 120.00°
Last column: nearest neighbours and their distance in Å.
Fractional positions:
Sc1 0.6667 0.3333 0.6859  3 Cd 3.10, 3 La 3.47
La1 0.3333 0.6667 0.3334  3 Sc 3.47, 3 Cd 3.47, 6 La 3.48
Cd1 0.0000 0.0000 0.9807  3 Sc 3.10, 3 La 3.47



# 8
Entry from Alexandria: a geometry-optimized Na2LiHgP structure (GGA-PBE).

Output
As for the total energy: -2.354 eV/atom. The space group is No. 123.

Cell: 5.4730 5.4730 4.7307 Å, 90.00 90.00 90.00°
Last column: nearest neighbours and their distance in Å.
Fractional positions:
Li1 0.0000 0.0000 0.5000  2 P 2.37
Hg1 0.5000 0.5000 0.5000  8 Na 3.62, 4 Li 3.87
Na1 0.5000 0.0000 0.0000  2 P 2.74
Na2 0.0000 0.5000 0.0000  2 P 2.74
P1 0.0000 0.0000 0.0000  2 Li 2.37



no.,total magnetic moment (μB per atom)
1,1.191
2,0.000
3,0.000
4,0.000
5,0.000
6,2.630
7,0.072
8,0.000